A plane-wave DFT calculation with PBE-GGA was carried out for a relaxed structure of SnB2Ru2.

extended XYZ file:
```
5
Lattice="3.0166 0.0000 0.0000 0.0000 3.0166 0.0000 1.5083 1.5083 6.7732" Properties=species:S:1:pos:R:3 pbc="T T T"
Ru 3.0166 3.0166 4.9684
Ru 1.5083 1.5083 1.8047
Sn 0.0000 0.0000 0.0000
B 1.5083 3.0166 3.3866
B 3.0166 1.5083 3.3866
```

Total DFT energy (no corrections)   -36.5 eV for the cell shown
Energy of formation   -117 meV/atom
Space group   I4/mmm, No. 139
Mass density   9.23 Mg/m³